Compound: Ba3Dy2MoO9
Source: the Alexandria database
Functional: GGA+U
Structure: relaxed

The structure belongs to space group Immm (No. 71); the cell edges are 6.0952, 8.6405 and 18.2810 Å and the angles 90.00°, 90.00° and 90.00°. The asymmetric unit holds Ba at (0.0000, 0.2378, 0.0000), Ba at (0.0000, 0.2590, 0.3388), Dy at (0.0000, 0.0000, 0.1712), Dy at (0.0000, 0.0000, 0.5000), Dy at (0.0000, 0.5000, 0.5000), Mo at (0.0000, 0.5000, 0.1654), O at (0.0000, 0.2467, 0.5000), O at (0.0000, 0.2714, 0.1694), O at (0.2265, 0.5000, 0.0888), O at (0.2306, 0.5000, 0.2392) and O at (0.2499, 0.0000, 0.0896).

The total DFT energy (no corrections) comes out at -0.53233 Ry per atom. For the calculated volume, the calculation gives 962.8 Å³/cell. The total magnetization is 0.00 μB per formula unit.